Material: GdDyTh2
Method: DFT, PBE
State: optimized geometry

## Properties
As for the space group: No. 123. The calculation puts the formation energy at 0.21 eV/f.u.

abc: 5.0142 5.0142 5.0920
angles: 90.00 90.00 90.00
Element x y z (fractional)
Gd 0.0000 0.0000 0.0000
Dy 0.5000 0.5000 0.0000
Th 0.0000 0.5000 0.5000
Th 0.5000 0.0000 0.5000